A plane-wave DFT calculation with PBE with a Hubbard U was carried out for an optimized crystal structure of VPN2O.

POSCAR file:
```
VPN2O
1.0
3.928 0.000 0.000
0.000 3.928 0.000
0.000 0.000 3.578
V P N O
1 1 2 1
direct
0.000 0.000 0.000
0.500 0.500 0.500
0.000 0.500 0.000
0.500 0.000 0.000
0.000 0.000 0.500
```

Output
* calculated volume: 55.2 Å³/cell

A plane-wave DFT calculation with PBE with a Hubbard U was carried out for an optimized crystal structure of VPNO2.

POSCAR file:
```
VPNO2
1.0
3.669 0.000 0.000
0.000 3.669 0.000
0.000 0.000 4.090
V P N O
1 1 1 2
direct
0.000 0.000 0.000
0.500 0.500 0.500
0.000 0.000 0.500
0.000 0.500 0.000
0.500 0.000 0.000
```

Output
* calculated volume: 55.0 Å³/cell

A plane-wave DFT calculation with PBE with a Hubbard U was carried out for an optimized crystal structure of VP2NO.

POSCAR file:
```
VP2NO
1.0
4.681 0.000 0.000
0.000 4.681 0.000
0.000 0.000 3.607
V P N O
1 2 1 1
direct
0.000 0.000 0.000
0.000 0.500 0.000
0.500 0.000 0.000
0.500 0.500 0.500
0.000 0.000 0.500
```

Output
* ΔE to the lowest computed polymorph: 0.1573 eV per atom
* calculated volume: 79.1 Å³/cell

A plane-wave DFT calculation with PBE with a Hubbard U was carried out for an optimized crystal structure of VPN2O.

POSCAR file:
```
VPN2O
1.0
3.617 0.000 0.000
0.000 3.617 0.000
0.000 0.000 3.280
V P N O
1 1 2 1
direct
0.000 0.000 0.000
0.500 0.500 0.500
0.000 0.500 0.500
0.500 0.000 0.500
0.500 0.500 0.000
```

Output
* calculated volume: 42.9 Å³/cell

A plane-wave DFT calculation with PBE with a Hubbard U was carried out for an optimized crystal structure of VPN2O5.

POSCAR file:
```
VPN2O5
1.0
7.384 0.000 0.000
0.000 5.508 0.000
-0.523 0.000 8.517
V P N O
2 2 4 10
direct
0.103 0.000 0.198
0.897 0.500 0.802
0.132 0.998 0.803
0.868 0.498 0.197
0.343 0.504 0.511
0.352 0.499 0.019
0.648 0.999 0.981
0.657 0.004 0.489
0.006 0.779 0.744
0.021 0.231 0.746
0.108 0.999 0.988
0.303 0.991 0.279
0.319 0.988 0.755
0.681 0.488 0.245
0.697 0.491 0.721
0.892 0.499 0.012
0.979 0.731 0.254
0.994 0.279 0.256
```

Output
* calculated volume: 346.4 Å³/cell

A plane-wave DFT calculation with PBE with a Hubbard U was carried out for an optimized crystal structure of PWN2O.

POSCAR file:
```
PWN2O
1.0
3.732 0.000 0.000
0.000 3.732 0.000
0.000 0.000 3.360
P W N O
1 1 2 1
direct
0.000 0.000 0.000
0.500 0.500 0.500
0.000 0.500 0.000
0.500 0.000 0.000
0.000 0.000 0.500
```

Output
* calculated volume: 46.8 Å³/cell

A plane-wave DFT calculation with PBE with a Hubbard U was carried out for an optimized crystal structure of PWNO2.

POSCAR file:
```
PWNO2
1.0
3.779 0.000 0.000
0.000 3.779 0.000
0.000 0.000 5.200
P W N O
1 1 1 2
direct
0.000 0.000 0.000
0.000 0.000 0.500
0.500 0.500 0.000
0.000 0.500 0.500
0.500 0.000 0.500
```

Output
* calculated volume: 74.3 Å³/cell

A plane-wave DFT calculation with PBE with a Hubbard U was carried out for an optimized crystal structure of PWNO2.

POSCAR file:
```
PWNO2
1.0
3.500 0.000 0.000
0.000 3.500 0.000
0.000 0.000 4.192
P W N O
1 1 1 2
direct
0.000 0.000 0.000
0.500 0.500 0.500
0.000 0.000 0.500
0.000 0.500 0.000
0.500 0.000 0.000
```

Output
* calculated volume: 51.3 Å³/cell

Calculated total energy for the records above, in order: -6.234 -6.248 -5.302 -6.865 -6.326 -6.512 -6.118 -6.257 eV/atom
Fermi-level density of states for the records above, in order: 2.28 2.14 2.66 0.55 0.00 0.59 0.95 0.99 states/eV/cell